Below is YAsPb2 after structural relaxation, with properties calculated at the GGA-PBEsol level.

The value obtained for the raw total energy is -5.499 eV per atom. Its formation energy is -199.6 kJ/mol of formula units.

The space group is P4mm (No. 99) and the conventional cell measures 4.036, 4.036 and 6.678 Å, with angles of 90.00, 90.00 and 90.00 degrees. Symmetry generates all atoms from Y at (0.000, 0.000, 0.000), As at (0.500, 0.500, 0.090), Pb at (0.000, 0.000, 0.476) and Pb at (0.500, 0.500, 0.674).